Below is a relaxed structure of Y2TlPt, with properties calculated at the PBE level.

abc: 3.5748 3.5855 7.6461
angles: 90.00 90.11 90.00
Space group P2/m (No. 10)
Symmetry-distinct sites (fractional):
1 Y 0.0004 0.0000 0.2194 [2 per cell]
2 Tl 0.5000 0.5000 0.5000 [1 per cell]
3 Pt 0.5000 0.5000 0.0000 [1 per cell]

- electronic total energy (eV for the cell shown) = -24.53
- crystal system = monoclinic
- ΔE to the lowest computed polymorph (meV per atom) = 0
- M_tot (μB per cell) = 0.000
- D(E_F) (states/eV per cell) = 2.582
- ΔH_f (0 K) (eV per atom) = -0.80